Entry from Alexandria: a relaxed BaZr4SnO12 crystal (PBE).

Cell and atoms, written as POSCAR:
```
BaZr4SnO12
1.0
8.3467 0.0000 0.0000
0.0000 4.1195 4.0118
0.0000 -4.1195 4.0118
Ba Zr Sn O
1 4 1 12
direct
0.0000 0.0000 0.0000
0.2543 0.4703 0.9417
0.2543 0.9417 0.4703
0.7457 0.4703 0.9417
0.7457 0.9417 0.4703
0.5000 0.4106 0.4106
0.0000 0.4911 0.9291
0.0000 0.9291 0.4911
0.2443 0.1539 0.7655
0.2443 0.7655 0.1539
0.2558 0.2568 0.2568
0.3341 0.6135 0.6135
0.5000 0.0637 0.4752
0.5000 0.4752 0.0637
0.6659 0.6135 0.6135
0.7442 0.2568 0.2568
0.7557 0.1539 0.7655
0.7557 0.7655 0.1539
```

Summary:
DOS at the Fermi energy	6.124	states/eV/cell
SG	No. 38
calculated volume	15.33	A^3/atom
total moment	2.05	Bohr magnetons per cell
crystal system	orthorhombic
ΔE_f (raw)	-246	kJ per mole of atoms

***

Entry from Alexandria: a relaxed BaZr2SnO6 crystal (PBE).

Cell and atoms, written as POSCAR:
```
BaZr2SnO6
1.0
4.1459 -4.2311 0.0000
4.1459 4.2311 0.0000
0.0000 0.0000 4.2570
Ba Zr Sn O
1 2 1 6
direct
0.0000 0.0000 0.0000
0.0000 0.5000 0.5000
0.5000 0.0000 0.5000
0.5000 0.5000 0.0000
0.0000 0.5000 0.0000
0.2068 0.7932 0.5000
0.2952 0.2952 0.5000
0.5000 0.0000 0.0000
0.7048 0.7048 0.5000
0.7932 0.2068 0.5000
```

Summary:
DOS at the Fermi energy	0.000	states/eV/cell
SG	No. 65
calculated volume	14.94	A^3/atom
total moment	0.00	Bohr magnetons per cell
crystal system	orthorhombic
ΔE_f (raw)	-265	kJ per mole of atoms

***

Entry from Alexandria: a relaxed BaZr2SnO6 crystal (PBE).

Cell and atoms, written as POSCAR:
```
BaZr2SnO6
1.0
4.2274 0.0000 0.0000
0.0000 4.2274 0.0000
0.0000 0.0000 8.4458
Ba Zr Sn O
1 2 1 6
direct
0.0000 0.0000 0.0000
0.5000 0.5000 0.2533
0.5000 0.5000 0.7467
0.0000 0.0000 0.5000
0.0000 0.5000 0.2521
0.0000 0.5000 0.7479
0.5000 0.0000 0.2521
0.5000 0.0000 0.7479
0.5000 0.5000 0.0000
0.5000 0.5000 0.5000
```

Summary:
DOS at the Fermi energy	0.000	states/eV/cell
SG	No. 123
calculated volume	15.09	A^3/atom
total moment	0.00	Bohr magnetons per cell
crystal system	tetragonal
ΔE_f (raw)	-264	kJ per mole of atoms

***

Entry from Alexandria: a relaxed BaSr2O3 crystal (PBE).

Cell and atoms, written as POSCAR:
```
BaSr2O3
1.0
6.5781 -1.8418 0.0000
6.5781 1.8418 0.0000
-6.5457 0.0000 11.1281
Ba Sr O
2 4 6
direct
0.1440 0.1440 0.3366
0.8560 0.8560 0.6634
0.0000 0.0000 0.0000
0.1732 0.1732 0.7637
0.5000 0.5000 0.5000
0.8268 0.8268 0.2363
0.1640 0.1640 0.5674
0.3818 0.3818 0.8613
0.4607 0.4607 0.2886
0.5393 0.5393 0.7114
0.6182 0.6182 0.1387
0.8360 0.8360 0.4326
```

Summary:
SG	No. 12
calculated volume	22.47	A^3/atom
total moment	0.00	Bohr magnetons per cell
crystal system	monoclinic
ΔE_f (raw)	-236	kJ per mole of atoms

***

Repeat the first record exactly.
Entry from Alexandria: a relaxed BaZr4SnO12 crystal (PBE).

Cell and atoms, written as POSCAR:
```
BaZr4SnO12
1.0
8.3467 0.0000 0.0000
0.0000 4.1195 4.0118
0.0000 -4.1195 4.0118
Ba Zr Sn O
1 4 1 12
direct
0.0000 0.0000 0.0000
0.2543 0.4703 0.9417
0.2543 0.9417 0.4703
0.7457 0.4703 0.9417
0.7457 0.9417 0.4703
0.5000 0.4106 0.4106
0.0000 0.4911 0.9291
0.0000 0.9291 0.4911
0.2443 0.1539 0.7655
0.2443 0.7655 0.1539
0.2558 0.2568 0.2568
0.3341 0.6135 0.6135
0.5000 0.0637 0.4752
0.5000 0.4752 0.0637
0.6659 0.6135 0.6135
0.7442 0.2568 0.2568
0.7557 0.1539 0.7655
0.7557 0.7655 0.1539
```

Summary:
DOS at the Fermi energy	6.124	states/eV/cell
SG	No. 38
calculated volume	15.33	A^3/atom
total moment	2.05	Bohr magnetons per cell
crystal system	orthorhombic
ΔE_f (raw)	-246	kJ per mole of atoms

***

Which formula does entry 3 have? BaZr2SnO6